1.
! Y3Ho12Al (PBE, optimized geometry); values from VASP
! * space-group type: P4/mmm
! * raw total energy: -4.896 eV per atom
! * energy of formation: -0.017 eV per atom
&SYSTEM
  ibrav = 0, nat = 16, ntyp = 3
/
ATOMIC_SPECIES
Ho 164.93 Ho.upf
Y 88.91 Y.upf
Al 26.98 Al.upf
ATOMIC_POSITIONS angstrom
Ho -5.8540 -1.4486 4.9884
Ho -2.7108 -0.5068 -2.1169
Ho -12.1981 -0.7346 12.9415
Ho -6.1010 1.9822 4.4834
Ho -12.1173 0.5519 9.6752
Ho -9.2749 2.3394 8.4623
Ho -12.4451 2.6962 12.4365
Ho -5.7225 -0.1678 1.6586
Ho -2.9309 1.6254 0.5093
Ho -9.0279 -1.0914 8.9673
Ho -2.6839 -1.8054 1.0143
Ho -8.9199 0.1920 5.6669
Y -9.3608 1.0535 11.7350
Y -6.2091 0.6988 7.7838
Y -3.0573 0.3441 3.8327
Al 0.0000 0.0000 0.0000
CELL_PARAMETERS angstrom
-2.9578 2.9241 -2.6219
-2.4638 -3.9376 -1.6119
-12.4181 1.3976 15.5677

=====

2.
! YHo2Al9 (PBE, optimized geometry); values from VASP
! * space-group type: P4/mmm
! * raw total energy: -4.529 eV per atom
! * E above lowest polymorph: 0.0 meV per atom
! * energy of formation: -0.421 eV per atom
&SYSTEM
  ibrav = 0, nat = 12, ntyp = 3
/
ATOMIC_SPECIES
Al 26.98 Al.upf
Ho 164.93 Ho.upf
Y 88.91 Y.upf
ATOMIC_POSITIONS angstrom
Al 0.0000 2.1255 10.6148
Al 2.1255 2.1255 4.2549
Al 0.0000 2.1255 6.3760
Al 0.0000 2.1255 2.1372
Al 2.1255 0.0000 10.6148
Al 2.1255 2.1255 0.0000
Al 2.1255 2.1255 8.4971
Al 2.1255 0.0000 2.1372
Al 2.1255 0.0000 6.3760
Ho 0.0000 0.0000 8.4961
Ho 0.0000 0.0000 4.2560
Y 0.0000 0.0000 0.0000
CELL_PARAMETERS angstrom
4.2510 0.0000 0.0000
0.0000 4.2510 0.0000
0.0000 0.0000 12.7521

=====

3.
! Y2HoAl (PBE, optimized geometry); values from VASP
! * space-group type: R3m
! * raw total energy: -5.397 eV per atom
! * E above lowest polymorph: 118.9 meV per atom
! * energy of formation: -0.085 eV per atom
&SYSTEM
  ibrav = 0, nat = 4, ntyp = 3
/
ATOMIC_SPECIES
Ho 164.93 Ho.upf
Y 88.91 Y.upf
Al 26.98 Al.upf
ATOMIC_POSITIONS angstrom
Ho -6.5499 -0.6451 -0.8169
Y -7.8261 2.6889 -1.2406
Y -3.0085 -0.4988 -0.3598
Al -2.2948 -3.4606 -0.0389
CELL_PARAMETERS angstrom
-1.4799 -2.7354 -1.8056
-1.9500 -2.4637 1.7494
-9.6897 3.9220 -1.5814

=====

4.
! YHo6Al2 (PBE, optimized geometry); values from VASP
! * space-group type: C2/m
! * raw total energy: -4.776 eV per atom
! * energy of formation: -0.174 eV per atom
&SYSTEM
  ibrav = 0, nat = 9, ntyp = 3
/
ATOMIC_SPECIES
Al 26.98 Al.upf
Ho 164.93 Ho.upf
Y 88.91 Y.upf
ATOMIC_POSITIONS angstrom
Al 3.7901 5.4616 11.0129
Al 1.4139 0.5277 2.7228
Ho 0.5466 1.6944 8.1853
Ho 3.2701 3.0264 2.6594
Ho 4.6573 4.2950 5.5504
Ho 2.3832 4.7562 8.2460
Ho 1.9338 2.9630 11.0763
Ho 2.8208 1.2332 5.4897
Y 0.0000 0.0000 0.0000
CELL_PARAMETERS angstrom
3.6016 0.0000 0.5718
1.5816 6.0860 1.6666
0.0208 -0.0966 11.4972

=====

5.
! YHo5Al2 (PBE, optimized geometry); values from VASP
! * space-group type: Immm
! * raw total energy: -4.701 eV per atom
! * energy of formation: -0.096 eV per atom
&SYSTEM
  ibrav = 0, nat = 8, ntyp = 3
/
ATOMIC_SPECIES
Y 88.91 Y.upf
Al 26.98 Al.upf
Ho 164.93 Ho.upf
ATOMIC_POSITIONS angstrom
Y 0.0000 0.0000 0.0000
Al 5.2834 7.5932 5.5666
Al 1.7611 2.3724 1.7393
Ho 3.5222 7.7077 2.8041
Ho 3.5222 4.9931 6.5069
Ho 3.5222 4.9725 0.7989
Ho 3.5222 2.2580 4.5017
Ho 1.7611 4.9828 3.6529
CELL_PARAMETERS angstrom
3.5222 0.0000 0.0000
1.7611 8.0038 -0.4678
1.7611 1.9619 7.7737

=====

6.
! Y4Ho2Al (PBE, optimized geometry); values from VASP
! * space-group type: Immm
! * raw total energy: -5.575 eV per atom
! * energy of formation: -0.039 eV per atom
&SYSTEM
  ibrav = 0, nat = 7, ntyp = 3
/
ATOMIC_SPECIES
Al 26.98 Al.upf
Y 88.91 Y.upf
Ho 164.93 Ho.upf
ATOMIC_POSITIONS angstrom
Al 0.0000 0.0000 0.0000
Y 1.8173 0.1219 8.7940
Y 1.8173 0.0360 2.6154
Y 0.0000 2.9074 7.8408
Y 0.0000 2.8215 1.6622
Ho 0.0000 0.0800 5.7692
Ho 1.8173 2.8633 4.6869
CELL_PARAMETERS angstrom
3.6346 0.0000 0.0000
0.0000 5.5959 -0.0748
-1.8173 -2.6525 10.5310

=====

7.
! YHo2Al2Zn2 (PBE, optimized geometry); values from VASP
! * space-group type: R-3m
! * raw total energy: -3.980 eV per atom
! * energy of formation: -0.316 eV per atom
&SYSTEM
  ibrav = 0, nat = 7, ntyp = 4
/
ATOMIC_SPECIES
Ho 164.93 Ho.upf
Al 26.98 Al.upf
Y 88.91 Y.upf
Zn 65.41 Zn.upf
ATOMIC_POSITIONS angstrom
Ho -1.3689 4.1824 4.2901
Ho -6.8588 3.9253 3.1943
Al -2.1291 1.8008 1.6173
Al -6.0986 6.3070 5.8671
Y 0.0000 0.0000 0.0000
Zn -4.6801 2.2798 1.7512
Zn -3.5475 5.8279 5.7332
CELL_PARAMETERS angstrom
-3.5615 2.4736 -1.1911
-4.0165 -0.8015 1.8566
-0.6496 6.4356 6.8189

=====

8.
! Y2HoAl2Zn2 (PBE, optimized geometry); values from VASP
! * space-group type: R-3m
! * raw total energy: -4.259 eV per atom
! * energy of formation: -0.325 eV per atom
&SYSTEM
  ibrav = 0, nat = 7, ntyp = 4
/
ATOMIC_SPECIES
Zn 65.41 Zn.upf
Y 88.91 Y.upf
Al 26.98 Al.upf
Ho 164.93 Ho.upf
ATOMIC_POSITIONS angstrom
Zn 4.4893 2.5919 7.4320
Zn 4.4893 2.5919 1.7007
Y 6.7339 3.8878 3.4679
Y 2.2446 1.2959 5.6648
Al 2.2446 1.2959 1.8622
Al 6.7339 3.8878 7.2705
Ho 0.0000 0.0000 0.0000
CELL_PARAMETERS angstrom
4.4893 0.0000 0.0000
2.2446 3.8878 0.0000
2.2446 1.2959 9.1327

=====

9.
! HoAl6Zn (PBE, optimized geometry); values from VASP
! * space-group type: P4/mmm
! * raw total energy: -3.648 eV per atom
! * energy of formation: -0.110 eV per atom
&SYSTEM
  ibrav = 0, nat = 8, ntyp = 3
/
ATOMIC_SPECIES
Al 26.98 Al.upf
Zn 65.41 Zn.upf
Ho 164.93 Ho.upf
ATOMIC_POSITIONS angstrom
Al 1.9356 0.0199 3.0841
Al 0.0000 1.4435 4.7466
Al 1.9356 3.0842 -0.0194
Al 0.0000 4.7855 4.7251
Al 0.0000 1.4225 1.4045
Al 0.0000 4.7645 1.3830
Zn 1.9356 0.0000 0.0000
Ho 1.9356 3.1040 3.0648
CELL_PARAMETERS angstrom
3.8712 0.0000 0.0000
0.0000 6.1683 -0.0387
0.0000 0.0397 6.1683

=====

10.
! Ho4AlZn3 (PBE, optimized geometry); values from VASP
! * space-group type: Pmm2
! * raw total energy: -3.554 eV per atom
! * E above lowest polymorph: 40.1 meV per atom
! * energy of formation: -0.320 eV per atom
&SYSTEM
  ibrav = 0, nat = 8, ntyp = 3
/
ATOMIC_SPECIES
Al 26.98 Al.upf
Zn 65.41 Zn.upf
Ho 164.93 Ho.upf
ATOMIC_POSITIONS angstrom
Al -2.5873 1.4912 0.1055
Zn -4.6718 -1.7571 4.7011
Zn -2.0090 -1.2781 4.2943
Zn -4.5923 -0.9995 9.6765
Ho -3.9109 0.6492 2.9346
Ho -0.7312 -0.4652 1.5631
Ho -3.2862 -0.1686 6.8847
Ho -5.9419 -2.5651 7.4160
CELL_PARAMETERS angstrom
-0.5095 3.5201 0.8093
-4.0411 -0.1406 -1.9324
-4.6573 -2.9630 9.9555

=====

Q: What is the raw total energy in the eighth record?
A: -4.259 eV per atom

=====

Q: What is the raw total energy in the ninth record?
A: -3.648 eV per atom

=====

Q: Which of these has the lowest raw total energy?
A: Y4Ho2Al